GGA-PBEsol Zr3AsRh, optimized geometry; energy of formation = 0.118 eV/atom; SG = Pm-3m, No. 221; total magnetization = 0.00 μB/cell
1.0
4.916 0.000 0.000
0.000 4.916 0.000
0.000 0.000 4.916
Zr As Rh
3 1 1
direct
0.000 0.000 0.500 Zr
0.000 0.500 0.000 Zr
0.500 0.000 0.000 Zr
0.500 0.500 0.500 As
0.000 0.000 0.000 Rh

=====

GGA-PBEsol Cd2RhAu, optimized geometry; energy of formation = -0.104 eV/atom; SG = Fm-3m, No. 225; total magnetization = 0.00 μB/cell
1.0
6.468 0.000 0.000
0.000 6.468 0.000
0.000 0.000 6.468
Cd Rh Au
8 4 4
direct
0.250 0.250 0.250 Cd
0.250 0.250 0.750 Cd
0.250 0.750 0.250 Cd
0.250 0.750 0.750 Cd
0.750 0.250 0.250 Cd
0.750 0.250 0.750 Cd
0.750 0.750 0.250 Cd
0.750 0.750 0.750 Cd
0.000 0.000 0.000 Rh
0.000 0.500 0.500 Rh
0.500 0.000 0.500 Rh
0.500 0.500 0.000 Rh
0.000 0.000 0.500 Au
0.000 0.500 0.000 Au
0.500 0.000 0.000 Au
0.500 0.500 0.500 Au

=====

GGA-PBEsol LaYS3, optimized geometry; ΔE_f (raw) = -2.204 eV/atom; SG = P2_1/m, No. 11; total magnetization = 0.00 μB/cell
1.0
10.948 0.000 0.000
0.000 3.977 0.000
-4.340 0.000 21.039
La Y S
8 8 24
direct
0.092 0.250 0.365 La
0.201 0.250 0.037 La
0.302 0.750 0.734 La
0.308 0.250 0.234 La
0.692 0.750 0.766 La
0.698 0.250 0.266 La
0.799 0.750 0.963 La
0.908 0.750 0.635 La
0.029 0.250 0.851 Y
0.179 0.250 0.547 Y
0.447 0.250 0.917 Y
0.477 0.750 0.412 Y
0.523 0.250 0.588 Y
0.553 0.750 0.083 Y
0.821 0.750 0.453 Y
0.971 0.750 0.149 Y
0.037 0.250 0.230 S
0.058 0.750 0.945 S
0.086 0.750 0.464 S
0.124 0.250 0.664 S
0.208 0.750 0.135 S
0.251 0.750 0.326 S
0.254 0.250 0.823 S
0.343 0.750 0.599 S
0.354 0.750 0.985 S
0.361 0.250 0.464 S
0.454 0.250 0.135 S
0.494 0.250 0.720 S
0.506 0.750 0.280 S
0.546 0.750 0.865 S
0.639 0.750 0.536 S
0.646 0.250 0.015 S
0.657 0.250 0.401 S
0.746 0.750 0.177 S
0.749 0.250 0.674 S
0.792 0.250 0.865 S
0.876 0.750 0.336 S
0.914 0.250 0.536 S
0.942 0.250 0.055 S
0.963 0.750 0.770 S

=====

GGA-PBEsol La2YIr, optimized geometry; energy of formation = -0.087 eV/atom; SG = P4/mmm, No. 123; total magnetization = 0.00 μB/cell; energy above the lowest structure with this stoichiometry = 0.49 eV per formula unit
1.0
4.236 0.000 0.000
0.000 4.236 0.000
0.000 0.000 5.428
La Y Ir
2 1 1
direct
0.000 0.500 0.000 La
0.500 0.000 0.000 La
0.000 0.000 0.500 Y
0.500 0.500 0.500 Ir